1.
! PBE-GGA Pr4Er5Mg, relaxed; values from VASP
&SYSTEM
  ibrav = 0, nat = 10, ntyp = 3
/
ATOMIC_SPECIES
Pr 140.91 Pr.upf
Er 167.26 Er.upf
Mg 24.30 Mg.upf
ATOMIC_POSITIONS angstrom
Pr 3.4122 0.0000 0.0000
Pr 7.3775 0.0000 0.0000
Pr 0.0000 3.4122 0.0000
Pr 0.0000 7.3775 0.0000
Er 3.4047 3.4047 0.0653
Er 1.9902 -1.9902 2.9441
Er 3.4047 7.3850 0.0653
Er 1.9902 1.9902 2.9441
Er 0.0000 0.0000 4.5975
Mg 0.0000 0.0000 1.6246
CELL_PARAMETERS angstrom
-5.3948 5.3948 2.8787
5.3948 -5.3948 2.8787
5.3948 5.3948 -2.8787
! formation energy from the elements	168.0	meV per atom
! Fermi-level density of states	12.65	states/eV/f.u.
! volume	33.513	Å³ per atom
! ρ	7057	kg/m³

---

2.
! PBE-GGA TaAl4Si, relaxed; values from VASP
&SYSTEM
  ibrav = 0, nat = 6, ntyp = 3
/
ATOMIC_SPECIES
Ta 180.95 Ta.upf
Al 26.98 Al.upf
Si 28.09 Si.upf
ATOMIC_POSITIONS angstrom
Ta 0.0000 0.0000 0.0000
Al 4.5308 2.7117 2.7117
Al 2.7117 4.5308 2.7117
Al 2.7117 2.7117 4.5308
Al 4.5308 4.5308 4.5308
Si 1.8106 1.8106 1.8106
CELL_PARAMETERS angstrom
0.0000 3.6212 3.6212
3.6212 0.0000 3.6212
3.6212 3.6212 0.0000
! raw formation energy	2.87	kJ per mole of atoms
! Fermi-level density of states	2.12	states/eV/f.u.
! volume	15.829	Å³ per atom
! ρ	5542	kg/m³

---

3.
! PBE-GGA Ce4Sb2Os, relaxed; values from VASP
&SYSTEM
  ibrav = 0, nat = 14, ntyp = 3
/
ATOMIC_SPECIES
Ce 140.12 Ce.upf
Sb 121.76 Sb.upf
Os 190.23 Os.upf
ATOMIC_POSITIONS angstrom
Ce 0.9163 1.6183 1.0920
Ce -0.8282 3.3929 6.8969
Ce -0.8282 6.3167 6.8969
Ce 0.6273 4.8548 3.8590
Ce 2.8137 1.6183 5.2486
Ce 4.2691 0.1564 2.2108
Ce 4.2691 3.0802 2.2108
Ce 2.5246 4.8548 8.0156
Sb -0.2667 1.6183 4.1532
Sb 2.0562 4.8548 0.6400
Sb 1.3847 1.6183 8.4676
Sb 3.7076 4.8548 4.9544
Os -0.5460 4.8548 1.5599
Os 3.9869 1.6183 7.5478
CELL_PARAMETERS angstrom
6.7197 0.0000 0.0000
0.0000 6.4731 0.0000
-3.2787 0.0000 9.1076
! raw formation energy	-55.63	kJ per mole of atoms
! Fermi-level density of states	17.85	states/eV/f.u.
! volume	28.297	Å³ per atom
! ρ	8335	kg/m³